## A
Material: Ca2ReNi
Method: DFT, PBE
State: relaxed

a b c (Å): 3.0062 3.5130 8.5640
angles (deg): 90.00 90.00 90.00
Closest atoms and distances in Å follow each position.
Positions (direct):
1 Ca 0.0000 0.0000 0.0000  2 Ca 3.01, 1 Ni 3.11, 4 Re 3.17
2 Ca 0.5000 0.5000 0.3977  1 Re 2.99, 2 Ca 3.01, 4 Ni 3.09
3 Re 0.5000 0.5000 0.7471  4 Ni 2.50
4 Ni 0.0000 0.0000 0.6372  4 Re 2.50

Summary:
size of the total moment	0.00	μB per cell
space group	No. 25
DOS at the Fermi energy	5.30	states/eV/cell

---

## B
Material: Ca2ReNi
Method: DFT, PBE
State: relaxed

a b c (Å): 4.2348 4.2348 4.4027
angles (deg): 90.00 90.00 90.00
Closest atoms and distances in Å follow each position.
Positions (direct):
1 Ca 0.0000 0.5000 0.0000  4 Ca 2.99, 4 Re 3.05, 4 Ni 3.05
2 Ca 0.5000 0.0000 0.0000  4 Ca 2.99, 4 Re 3.05, 4 Ni 3.05
3 Re 0.0000 0.0000 0.5000  4 Ni 2.99, 8 Ca 3.05
4 Ni 0.5000 0.5000 0.5000  4 Re 2.99, 8 Ca 3.05

Summary:
size of the total moment	0.95	μB per cell
space group	No. 123
DOS at the Fermi energy	5.21	states/eV/cell

---

## C
Material: Ca2ReNi
Method: DFT, PBE
State: relaxed

a b c (Å): 2.8945 3.0451 8.7628
angles (deg): 90.00 90.00 90.00
Closest atoms and distances in Å follow each position.
Positions (direct):
1 Ca 0.0000 0.0000 0.2273  4 Ca 2.89-3.05, 4 Ni 2.89, 4 Re 3.18
2 Ca 0.0000 0.0000 0.7727  4 Ca 2.89-3.05, 4 Ni 2.89, 4 Re 3.18
3 Re 0.5000 0.5000 0.5000  4 Re 2.89-3.05, 8 Ca 3.18
4 Ni 0.5000 0.5000 0.0000  4 Ni 2.89-3.05, 8 Ca 2.89

Summary:
size of the total moment	0.36	μB per cell
space group	No. 47
DOS at the Fermi energy	4.88	states/eV/cell

---

## D
Material: Ca2ReNi
Method: DFT, PBE
State: relaxed

a b c (Å): 5.3202 5.3202 2.8868
angles (deg): 90.00 90.00 90.00
Closest atoms and distances in Å follow each position.
Positions (direct):
1 Ca 0.0000 0.5000 0.0000  2 Ca 2.89, 4 Re 3.03, 4 Ni 3.03
2 Ca 0.5000 0.0000 0.0000  2 Ca 2.89, 4 Re 3.03, 4 Ni 3.03
3 Re 0.0000 0.0000 0.5000  2 Re 2.89, 8 Ca 3.03
4 Ni 0.5000 0.5000 0.5000  2 Ni 2.89, 8 Ca 3.03

Summary:
size of the total moment	0.26	μB per cell
space group	No. 123
DOS at the Fermi energy	4.95	states/eV/cell

---

The winner here is A, beating the second structure by 210 meV per atom.

---

## A
Material: Ca2ReNi
Method: DFT, PBE
State: relaxed

a b c (Å): 4.9488 4.9488 4.9488
angles (deg): 60.00 60.00 60.00
Closest atoms and distances in Å follow each position.
Positions (direct):
1 Ca 0.2500 0.2500 0.2500  4 Re 3.03, 4 Ni 3.03
2 Ca 0.7500 0.7500 0.7500  4 Re 3.03, 4 Ni 3.03
3 Re 0.0000 0.0000 0.0000  8 Ca 3.03
4 Ni 0.5000 0.5000 0.5000  8 Ca 3.03

Summary:
size of the total moment	2.89	μB per cell
space group	No. 225
DOS at the Fermi energy	7.68	states/eV/cell

---

## B
Material: Ca2ReNi
Method: DFT, PBE
State: relaxed

a b c (Å): 6.2089 6.2089 6.2089
angles (deg): 100.85 100.85 128.58
Closest atoms and distances in Å follow each position.
Positions (direct):
1 Ca 0.0815 0.1250 0.4565  2 Ni 2.65, 2 Ca 2.78
2 Ca 0.3750 0.9185 0.0435  2 Ni 2.65, 2 Ca 2.78
3 Ca 0.6685 0.6250 0.5435  2 Ni 2.65, 2 Ca 2.78
4 Ca 0.8750 0.3315 0.9565  2 Ni 2.65, 2 Ca 2.78
5 Re 0.2500 0.7500 0.5000  2 Ni 2.69
6 Re 0.5000 0.5000 0.0000  2 Ni 2.69
7 Ni 0.0000 0.0000 0.0000  4 Ca 2.65, 2 Re 2.69
8 Ni 0.7500 0.2500 0.5000  4 Ca 2.65, 2 Re 2.69

Summary:
size of the total moment	2.83	μB per cell
space group	No. 122
DOS at the Fermi energy	10.41	states/eV/cell

---

## C
Material: Ca2ReNi
Method: DFT, PBE
State: relaxed

a b c (Å): 9.6304 9.6304 9.6304
angles (deg): 18.37 18.37 18.37
Closest atoms and distances in Å follow each position.
Positions (direct):
1 Ca 0.2453 0.2453 0.2453  3 Ni 2.85, 3 Re 3.07, 6 Ca 3.07
2 Ca 0.7547 0.7547 0.7547  3 Ni 2.85, 3 Re 3.07, 6 Ca 3.07
3 Re 0.0000 0.0000 0.0000  6 Ca 3.07, 6 Re 3.07
4 Ni 0.5000 0.5000 0.5000  6 Ca 2.85, 6 Ni 3.07

Summary:
size of the total moment	0.41	μB per cell
space group	No. 166
DOS at the Fermi energy	5.46	states/eV/cell

---

The winner here is C, beating the second structure by 87 meV per atom.

---

## A
Material: Ca2ReNi
Method: DFT, PBE
State: relaxed

a b c (Å): 5.3809 5.3809 2.8553
angles (deg): 90.00 90.00 105.11
Closest atoms and distances in Å follow each position.
Positions (direct):
1 Ca 0.0000 0.5000 0.0000  2 Ca 2.86, 4 Ni 3.05, 4 Re 3.05
2 Ca 0.5000 0.0000 0.0000  2 Ca 2.86, 4 Ni 3.05, 4 Re 3.05
3 Re 0.0000 0.0000 0.5000  2 Re 2.86, 8 Ca 3.05
4 Ni 0.5000 0.5000 0.5000  2 Ni 2.86, 8 Ca 3.05

Summary:
size of the total moment	0.00	μB per cell
space group	No. 65
DOS at the Fermi energy	3.81	states/eV/cell

---

## B
Material: Ca2ReNi
Method: DFT, PBE
State: relaxed

a b c (Å): 2.9611 2.9611 8.8221
angles (deg): 90.00 90.00 96.32
Closest atoms and distances in Å follow each position.
Positions (direct):
1 Ca 0.0000 0.0000 0.2281  4 Ni 2.82-2.99, 4 Ca 2.96, 2 Re 3.11
2 Ca 0.0000 0.0000 0.7719  4 Ni 2.82-2.99, 4 Ca 2.96, 2 Re 3.11
3 Re 0.5000 0.5000 0.5000  4 Re 2.96, 8 Ca 3.11-3.26
4 Ni 0.5000 0.5000 0.0000  8 Ca 2.82-2.99, 4 Ni 2.96

Summary:
size of the total moment	0.00	μB per cell
space group	No. 65
DOS at the Fermi energy	4.48	states/eV/cell

---

## C
Material: Ca2ReNi
Method: DFT, PBE
State: relaxed

a b c (Å): 5.4935 5.4935 5.4935
angles (deg): 143.09 127.79 65.64
Closest atoms and distances in Å follow each position.
Positions (direct):
1 Ca 0.2210 0.2210 0.0000  2 Ni 2.68
2 Ca 0.7790 0.7790 0.0000  2 Ni 2.68
3 Re 0.5000 0.0000 0.5000  4 Ni 2.98, 8 Ca 3.11-3.16
4 Ni 0.0000 0.5000 0.5000  4 Ca 2.68, 4 Re 2.98

Summary:
size of the total moment	1.14	μB per cell
space group	No. 71
DOS at the Fermi energy	4.67	states/eV/cell

---

The winner here is B, beating the second structure by 79 meV per atom.

---

## A
Material: Ca3ReNi
Method: DFT, PBE
State: relaxed

a b c (Å): 5.3881 5.3881 5.3881
angles (deg): 90.00 90.00 90.00
Closest atoms and distances in Å follow each position.
Positions (direct):
1 Ca 0.0000 0.0000 0.5000  2 Re 2.69
2 Ca 0.0000 0.5000 0.0000  2 Re 2.69
3 Ca 0.5000 0.0000 0.0000  2 Re 2.69
4 Re 0.0000 0.0000 0.0000  6 Ca 2.69
5 Ni 0.5000 0.5000 0.5000  12 Ca 3.81

Summary:
size of the total moment	0.00	μB per cell
space group	No. 221
DOS at the Fermi energy	11.28	states/eV/cell

---

## B
Material: Ca3ReNi
Method: DFT, PBE
State: relaxed

a b c (Å): 5.2345 5.2345 5.2345
angles (deg): 90.00 90.00 90.00
Closest atoms and distances in Å follow each position.
Positions (direct):
1 Ca 0.0000 0.0000 0.5000  2 Ni 2.62
2 Ca 0.0000 0.5000 0.0000  2 Ni 2.62
3 Ca 0.5000 0.0000 0.0000  2 Ni 2.62
4 Re 0.5000 0.5000 0.5000  12 Ca 3.70
5 Ni 0.0000 0.0000 0.0000  6 Ca 2.62

Summary:
size of the total moment	3.47	μB per cell
space group	No. 221
DOS at the Fermi energy	5.76	states/eV/cell

---

The winner here is B, beating the second structure by 199 meV per atom.

---

## A
Material: CaRe2Ni2
Method: DFT, PBE
State: relaxed

a b c (Å): 6.3296 6.3296 6.3296
angles (deg): 145.20 145.20 50.04
Closest atoms and distances in Å follow each position.
Positions (direct):
1 Ca 0.0000 0.0000 0.0000  8 Ni 2.93
2 Re 0.2500 0.7500 0.5000  4 Ni 2.52, 4 Re 2.68
3 Re 0.7500 0.2500 0.5000  4 Ni 2.52, 4 Re 2.68
4 Ni 0.3957 0.3957 0.0000  1 Ni 2.39, 4 Re 2.52
5 Ni 0.6043 0.6043 0.0000  1 Ni 2.39, 4 Re 2.52

Summary:
size of the total moment	0.00	μB per cell
space group	No. 139
DOS at the Fermi energy	7.83	states/eV/cell

---

## B
Material: CaRe2Ni2
Method: DFT, PBE
State: relaxed

a b c (Å): 7.7097 7.7097 2.6049
angles (deg): 90.00 90.00 90.00
Closest atoms and distances in Å follow each position.
Positions (direct):
1 Ca 0.0000 0.0000 0.0000  2 Ca 2.60, 4 Ni 2.84
2 Ca 0.5000 0.5000 0.0000  2 Ca 2.60, 4 Ni 2.84
3 Re 0.1166 0.3834 0.5000  3 Re 2.54-2.60, 6 Ni 2.60-2.66
4 Re 0.3834 0.8834 0.5000  3 Re 2.54-2.60, 6 Ni 2.60-2.66
5 Re 0.6166 0.1166 0.5000  3 Re 2.54-2.60, 6 Ni 2.60-2.66
6 Re 0.8834 0.6166 0.5000  3 Re 2.54-2.60, 6 Ni 2.60-2.66
7 Ni 0.1775 0.6775 0.0000  6 Re 2.60-2.66, 2 Ni 2.60, 2 Ca 2.84
8 Ni 0.3225 0.1775 0.0000  6 Re 2.60-2.66, 2 Ni 2.60, 2 Ca 2.84
9 Ni 0.6775 0.8225 0.0000  6 Re 2.60-2.66, 2 Ni 2.60, 2 Ca 2.84
10 Ni 0.8225 0.3225 0.0000  6 Re 2.60-2.66, 2 Ni 2.60, 2 Ca 2.84

Summary:
size of the total moment	0.00	μB per cell
space group	No. 127
DOS at the Fermi energy	8.24	states/eV/cell

---

The winner here is A, beating the second structure by 10 meV per atom.

---

## A
Material: CaRe3Ni
Method: DFT, PBE
State: relaxed

a b c (Å): 4.5233 4.5233 4.5233
angles (deg): 90.00 90.00 90.00
Closest atoms and distances in Å follow each position.
Positions (direct):
1 Ca 0.0000 0.0000 0.0000  6 Re 2.26
2 Re 0.0000 0.0000 0.5000  2 Ca 2.26
3 Re 0.0000 0.5000 0.0000  2 Ca 2.26
4 Re 0.5000 0.0000 0.0000  2 Ca 2.26
5 Ni 0.5000 0.5000 0.5000  12 Re 3.20

Summary:
size of the total moment	0.00	μB per cell
space group	No. 221
DOS at the Fermi energy	5.51	states/eV/cell

---

## B
Material: CaRe3Ni
Method: DFT, PBE
State: relaxed

a b c (Å): 4.5532 4.5532 4.5532
angles (deg): 90.00 90.00 90.00
Closest atoms and distances in Å follow each position.
Positions (direct):
1 Ca 0.0000 0.0000 0.0000  12 Re 3.22
2 Re 0.0000 0.5000 0.5000  2 Ni 2.28
3 Re 0.5000 0.0000 0.5000  2 Ni 2.28
4 Re 0.5000 0.5000 0.0000  2 Ni 2.28
5 Ni 0.5000 0.5000 0.5000  6 Re 2.28

Summary:
size of the total moment	0.00	μB per cell
space group	No. 221
DOS at the Fermi energy	9.65	states/eV/cell

---

The winner here is B, beating the second structure by 1874 meV per atom.